A relaxed YCr2Cl crystal, computed with GGA-PBE.

Values from the calculation:
symmetry	Cmmm, No. 65
formation energy without anion corrections	0.437	eV per atom
offset from the most stable computed form	0.573	eV/atom

a b c (Å): 5.731 5.731 3.345
angles (deg): 90.00 90.00 122.08
Atoms (fractional coordinates):
Y (0.000, 0.000, 0.000)
Cr (0.000, 0.500, 0.500)
Cr (0.500, 0.000, 0.500)
Cl (0.500, 0.500, 0.000)


A relaxed CsBS2 crystal, computed with GGA-PBE.

Values from the calculation:
symmetry	C2/c, No. 15
formation energy without anion corrections	-0.735	eV per atom
offset from the most stable computed form	0.152	eV/atom

a b c (Å): 6.873 6.873 15.936
angles (deg): 96.03 96.03 90.00
Atoms (fractional coordinates):
Cs (0.152, 0.775, 0.600)
Cs (0.225, 0.848, 0.900)
Cs (0.228, 0.350, 0.912)
Cs (0.350, 0.228, 0.412)
Cs (0.650, 0.772, 0.588)
Cs (0.772, 0.650, 0.088)
Cs (0.775, 0.152, 0.100)
Cs (0.848, 0.225, 0.400)
B (0.089, 0.704, 0.314)
B (0.296, 0.435, 0.186)
B (0.296, 0.911, 0.186)
B (0.435, 0.296, 0.686)
B (0.565, 0.704, 0.314)
B (0.704, 0.089, 0.814)
B (0.704, 0.565, 0.814)
B (0.911, 0.296, 0.686)
S (0.075, 0.452, 0.250)
S (0.076, 0.924, 0.250)
S (0.156, 0.280, 0.618)
S (0.277, 0.655, 0.107)
S (0.280, 0.156, 0.118)
S (0.345, 0.723, 0.393)
S (0.452, 0.075, 0.750)
S (0.453, 0.547, 0.750)
S (0.547, 0.453, 0.250)
S (0.548, 0.925, 0.250)
S (0.655, 0.277, 0.607)
S (0.720, 0.844, 0.882)
S (0.723, 0.345, 0.893)
S (0.844, 0.720, 0.382)
S (0.924, 0.076, 0.750)
S (0.925, 0.548, 0.750)


A relaxed Ba4SeN12 crystal, computed with GGA-PBE.

Values from the calculation:
symmetry	Im-3, No. 204
formation energy without anion corrections	-0.298	eV per atom

a b c (Å): 7.671 7.671 7.671
angles (deg): 109.47 109.47 109.47
Atoms (fractional coordinates):
Ba (0.000, 0.000, 0.500)
Ba (0.000, 0.500, 0.000)
Ba (0.500, 0.000, 0.000)
Ba (0.500, 0.500, 0.500)
Se (0.000, 0.000, 0.000)
N (0.156, 0.590, 0.434)
N (0.156, 0.722, 0.566)
N (0.278, 0.434, 0.844)
N (0.410, 0.566, 0.844)
N (0.434, 0.156, 0.590)
N (0.434, 0.844, 0.278)
N (0.566, 0.156, 0.722)
N (0.566, 0.844, 0.410)
N (0.590, 0.434, 0.156)
N (0.722, 0.566, 0.156)
N (0.844, 0.278, 0.434)
N (0.844, 0.410, 0.566)


A relaxed Na2Zr2InSe6 crystal, computed with GGA-PBE.

Values from the calculation:
symmetry	C2/m, No. 12
formation energy without anion corrections	-1.136	eV per atom

a b c (Å): 6.928 6.928 7.403
angles (deg): 98.62 98.62 120.77
Atoms (fractional coordinates):
Na (0.160, 0.840, 0.000)
Na (0.840, 0.160, 0.000)
Zr (0.331, 0.669, 0.500)
Zr (0.669, 0.331, 0.500)
In (0.000, 0.000, 0.500)
Se (0.072, 0.420, 0.720)
Se (0.276, 0.276, 0.283)
Se (0.420, 0.072, 0.720)
Se (0.580, 0.928, 0.280)
Se (0.724, 0.724, 0.717)
Se (0.928, 0.580, 0.280)


A relaxed TaTcPd crystal, computed with GGA-PBE.

Values from the calculation:
symmetry	I4/mmm, No. 139
E_form	-0.0961	eV/atom

a b c (Å): 10.627 10.627 10.627
angles (deg): 162.84 162.84 24.36
Atoms (fractional coordinates):
Ta (0.138, 0.138, 0.000)
Ta (0.862, 0.862, 0.000)
Tc (0.292, 0.292, 0.000)
Tc (0.708, 0.708, 0.000)
Pd (0.438, 0.438, 0.000)
Pd (0.562, 0.562, 0.000)


A relaxed TaPOsCl2 crystal, computed with GGA-PBE.

Values from the calculation:
symmetry	P4/mmm, No. 123
formation energy without anion corrections	1.038	eV per atom
offset from the most stable computed form	0.000	eV/atom

a b c (Å): 4.672 4.672 5.095
angles (deg): 90.00 90.00 90.00
Atoms (fractional coordinates):
Ta (0.000, 0.000, 0.000)
P (0.000, 0.000, 0.500)
Os (0.500, 0.500, 0.500)
Cl (0.000, 0.500, 0.000)
Cl (0.500, 0.000, 0.000)


Number 1: energy -25.81 eV for the cell shown. Number 2: energy -149.82 eV for the cell shown. Number 3: energy -116.15 eV for the cell shown. Number 4: energy -55.88 eV for the cell shown. Number 5: energy -55.40 eV for the cell shown. Number 6: energy -27.00 eV for the cell shown.